Below is ZnFeAgF6 after structural relaxation, with properties calculated at the PBE+U level.

Cell and atoms, written as CIF:
```
data_ZnFeAgF6
_chemical_formula_sum 'Zn2 Fe2 Ag2 F12'
_space_group_name_H-M_alt 'P -3 1 c'
_space_group_IT_number 163
_space_group_name_Hall '-P 3 2c'
_cell_length_a 5.4121
_cell_length_b 5.4121
_cell_length_c 10.2931
_cell_angle_alpha 90.00
_cell_angle_beta 90.00
_cell_angle_gamma 120.00
loop_
_atom_site_label
_atom_site_fract_x
_atom_site_fract_y
_atom_site_fract_z
Zn1 0.3333 0.6667 0.2500
Fe1 0.3333 0.6667 0.7500
Ag1 0.0000 0.0000 0.0000
F1 0.0143 0.3800 0.6450
```

## Properties
Its electronic total energy is -4.42 eV per atom. Its volume is 261.1 Å³/cell.